Record 1
## LiSmSeO (PBE-GGA)

Data for crystalline LiSmSeO at its relaxed geometry.

The structure in POSCAR format:
```
LiSmSeO
1.0
3.9830 0.0000 0.0000
0.0000 3.9830 0.0000
0.0000 0.0000 8.8998
Li Sm Se O
2 2 2 2
Direct
0.2500 0.7500 0.5000
0.7500 0.2500 0.5000
0.7500 0.7500 0.8698
0.2500 0.2500 0.1302
0.7500 0.7500 0.3245
0.2500 0.2500 0.6755
0.2500 0.7500 0.0000
0.7500 0.2500 0.0000
```

Calculated values
M_tot in μB/atom: 0.00
Final energy in eV per cell: -49.1
Symmetry: P4/nmm (129)
Density in Mg/m³: 5.934
Relative energy among the computed polymorphs in eV/atom: 0.001

Record 2
## LiSmSeO (PBE-GGA)

Data for crystalline LiSmSeO at its relaxed geometry.

The structure in POSCAR format:
```
LiSmSeO
1.0
5.4328 0.0000 -1.4634
0.0000 5.6242 0.0000
-3.0637 0.0000 10.1421
Sm Li Se O
4 4 4 4
Direct
0.6287 0.2399 0.1296
0.1286 0.7394 0.1294
0.8714 0.2394 0.8706
0.3713 0.7399 0.8704
0.7509 0.4852 0.5004
0.2491 0.9852 0.4996
0.2511 0.4848 0.5003
0.7489 0.9848 0.4997
0.3250 0.2361 0.3244
0.1754 0.2356 0.6759
0.6750 0.7361 0.6756
0.8246 0.7356 0.3241
0.2497 0.4896 0.9997
0.2502 0.9895 0.0002
0.7503 0.9896 0.0003
0.7498 0.4895 0.9998
```

Calculated values
M_tot in μB/atom: 0.00
Final energy in eV per cell: -98.2
Symmetry: P2_1 (4)
Density in Mg/m³: 5.886
Relative energy among the computed polymorphs in eV/atom: 0.000